{"formula": "TbPmTl4", "functional": "PBE-GGA", "state": "relaxed", "polymorph_energy_ev_per_atom": 0.000, "crystal_system": "cubic", "formation_energy_ev_per_fu": -0.5, "density_g_cm3": 10.90, "spacegroup": "F-43m (216)", "lattice": [[6.228, 0.000, 0.000], [3.114, 5.394, 0.000], [3.114, 1.798, 5.085]], "species": ["Tl", "Tl", "Tl", "Tl", "Pm", "Tb"], "fractional_positions": [[0.625, 0.125, 0.625], [0.625, 0.625, 0.125], [0.625, 0.625, 0.625], [0.125, 0.625, 0.625], [0.250, 0.250, 0.250], [0.000, 0.000, 0.000]]}

---

{"formula": "YTm5Cu4", "functional": "PBE-GGA", "state": "relaxed", "crystal_system": "tetragonal", "formation_energy_ev_per_fu": -2.2, "density_g_cm3": 8.91, "spacegroup": "P4/mmm (123)", "lattice": [[3.424, 0.000, 0.000], [0.000, 3.424, 0.000], [0.000, 0.000, 18.894]], "species": ["Y", "Tm", "Tm", "Tm", "Tm", "Tm", "Cu", "Cu", "Cu", "Cu"], "fractional_positions": [[0.000, 0.000, 0.000], [0.500, 0.500, 0.318], [0.500, 0.500, 0.862], [0.500, 0.500, 0.500], [0.500, 0.500, 0.682], [0.500, 0.500, 0.138], [0.000, 0.000, 0.773], [0.000, 0.000, 0.410], [0.000, 0.000, 0.590], [0.000, 0.000, 0.227]]}

---

{"formula": "TaGaAs2", "functional": "PBE-GGA", "state": "relaxed", "crystal_system": "tetragonal", "formation_energy_ev_per_fu": 0.5, "density_g_cm3": 6.55, "spacegroup": "I-42d (122)", "lattice": [[-2.820, -5.088, -1.403], [5.273, -2.648, -0.998], [1.443, -5.486, 4.233]], "species": ["Ga", "Ga", "Ta", "Ta", "As", "As", "As", "As"], "fractional_positions": [[0.250, 0.750, 0.500], [0.500, 0.500, 0.000], [0.750, 0.250, 0.500], [0.000, 0.000, 0.000], [0.635, 0.125, 0.250], [0.375, 0.365, 0.750], [0.115, 0.625, 0.250], [0.875, 0.885, 0.750]]}

---

{"formula": "Tm4Si3Pd", "functional": "PBE-GGA", "state": "relaxed", "raw_formation_energy_mev_per_atom": -821, "crystal_system": "orthorhombic", "density_g_cm3": 8.45, "spacegroup": "Pmm2 (25)", "lattice": [[-3.362, 0.704, -2.339], [-1.316, -3.540, 0.826], [-5.080, 3.862, 8.464]], "species": ["Tm", "Tm", "Tm", "Tm", "Si", "Si", "Si", "Pd"], "fractional_positions": [[0.500, 0.500, 0.360], [0.500, 0.000, 0.642], [0.000, 0.000, 0.139], [0.000, 0.500, 0.857], [0.000, 0.000, 0.429], [0.500, 0.000, 0.918], [0.000, 0.500, 0.576], [0.500, 0.500, 0.080]]}